{
  "formula": "Fe4As3O23",
  "functional": "PBE with a Hubbard U",
  "state": "optimized geometry",
  "cell": [[-0.9611, 3.4545, 7.0482], [-7.6400, 1.2169, -1.6382], [-1.8002, -7.0085, 3.1896]],
  "species": ["O", "O", "O", "O", "O", "O", "O", "O", "O", "O", "O", "O", "O", "O", "O", "O", "O", "O", "O", "O", "O", "O", "O", "Fe", "Fe", "Fe", "Fe", "As", "As", "As"],
  "fractional_positions": [[0.3789, 0.8721, 0.8721], [0.3789, 0.1279, 0.1279], [0.8721, 0.6211, 0.1279], [0.6211, 0.1279, 0.8721], [0.5000, 0.5000, 0.0000], [0.8843, 0.8843, 0.8843], [0.8721, 0.3789, 0.8721], [0.1279, 0.3789, 0.1279], [0.8721, 0.8721, 0.3789], [0.1279, 0.6211, 0.8721], [0.1157, 0.8843, 0.1157], [0.5793, 0.4207, 0.4207], [0.4207, 0.5793, 0.4207], [0.8843, 0.1157, 0.1157], [0.6211, 0.8721, 0.1279], [0.1279, 0.8721, 0.6211], [0.1279, 0.1279, 0.3789], [0.0000, 0.5000, 0.5000], [0.8721, 0.1279, 0.6211], [0.5793, 0.5793, 0.5793], [0.4207, 0.4207, 0.5793], [0.5000, 0.0000, 0.5000], [0.1157, 0.1157, 0.8843], [0.8642, 0.1358, 0.8642], [0.1358, 0.1358, 0.1358], [0.8642, 0.8642, 0.1358], [0.1358, 0.8642, 0.8642], [0.0000, 0.5000, 0.0000], [0.0000, 0.0000, 0.5000], [0.5000, 0.0000, 0.0000]],
  "density_kg_m3": 2741,
  "dft_energy_ev_per_atom": -5.182,
  "dos_at_fermi_per_ev_cell": 20.1
}